1.
# PBEsol Li3MgTc, relaxed
data_Li3MgTc
_chemical_formula_sum 'Li3 Mg1 Tc1'
_symmetry_space_group_name_H-M 'P m -3 m'
_symmetry_Int_Tables_number 221
_symmetry_space_group_name_Hall '-P 4 2 3'
_cell_length_a 4.715
_cell_length_b 4.715
_cell_length_c 4.715
_cell_angle_alpha 90.00
_cell_angle_beta 90.00
_cell_angle_gamma 90.00
loop_
_atom_site_label
_atom_site_type_symbol
_atom_site_fract_x
_atom_site_fract_y
_atom_site_fract_z
_atom_site_occupancy
Li1 Li 0.000 0.000 0.500 1
Mg1 Mg 0.500 0.500 0.500 1
Tc1 Tc 0.000 0.000 0.000 1
# Formation energy: 5.5 eV/f.u.

2.
# PBEsol Mo2PRu, relaxed
data_Mo2PRu
_chemical_formula_sum 'Mo6 P3 Ru3'
_symmetry_space_group_name_H-M 'R 3 m'
_symmetry_Int_Tables_number 160
_symmetry_space_group_name_Hall 'R 3 -2"'
_cell_length_a 2.7958
_cell_length_b 2.7958
_cell_length_c 24.8769
_cell_angle_alpha 90.00
_cell_angle_beta 90.00
_cell_angle_gamma 120.00
loop_
_atom_site_label
_atom_site_type_symbol
_atom_site_fract_x
_atom_site_fract_y
_atom_site_fract_z
_atom_site_occupancy
Mo1 Mo 0.0000 0.0000 0.0000 1
Mo2 Mo 0.0000 0.0000 0.2397 1
P1 P 0.0000 0.0000 0.7455 1
Ru1 Ru 0.0000 0.0000 0.4845 1
# Formation energy: 0.1 eV/f.u.

3.
# PBEsol LiCuNi2, relaxed
data_LiCuNi2
_chemical_formula_sum 'Li3 Cu3 Ni6'
_symmetry_space_group_name_H-M 'R -3 m'
_symmetry_Int_Tables_number 166
_symmetry_space_group_name_Hall '-R 3 2"'
_cell_length_a 2.4583
_cell_length_b 2.4583
_cell_length_c 24.7577
_cell_angle_alpha 90.00
_cell_angle_beta 90.00
_cell_angle_gamma 120.00
loop_
_atom_site_label
_atom_site_type_symbol
_atom_site_fract_x
_atom_site_fract_y
_atom_site_fract_z
_atom_site_occupancy
Li1 Li 0.0000 0.0000 0.0000 1
Cu1 Cu 0.0000 0.0000 0.5000 1
Ni1 Ni 0.0000 0.0000 0.2491 1
# Formation energy: 0.0 eV/f.u.